This record from Alexandria describes a relaxed PuZr2RhN4 crystal. The functional is PBE.

Output
Raw formation energy: -1.055 eV per atom
Electronic total energy: -10.066 eV per atom
Total magnetization: 4.2 μB/f.u.

abc: 3.2285 11.2458 11.3852
angles: 90.00 90.00 90.00
Closest atoms and distances in Å follow each position.
Space group Cmcm (No. 63)
Asymmetric unit:
Pu 0.0000 0.1170 0.2500 x4  6 N 2.31-2.55
Zr 0.0000 0.3699 0.0503 x8  5 N 2.15-2.40
Rh 0.0000 0.1476 0.7500 x4  4 N 2.09-2.11
N 0.0000 0.0000 0.0000 x4  4 Zr 2.25
N 0.0000 0.2743 0.6137 x8  1 Rh 2.11, 1 Zr 2.15
N 0.0000 0.4700 0.2500 x4  2 Rh 2.09, 2 Pu 2.31